The following is a PBE with a Hubbard U calculation of a geometry-optimized CoBiBrO2 structure, from the Alexandria database.

```
CoBiBrO2
1.0
-3.1050 -1.6945 -0.6477
-0.3485 -1.6524 5.9934
-4.2730 7.8153 0.0381
O Bi Br Co
4 2 2 2
direct
0.2500 0.5528 0.6151
0.7500 0.4472 0.3849
0.2500 0.4634 0.1199
0.7500 0.5366 0.8801
0.2500 0.6349 0.3617
0.7500 0.3651 0.6383
0.2500 0.0503 0.8360
0.7500 0.9497 0.1640
0.7500 0.3100 0.0184
0.2500 0.6900 0.9816
```

Calculated values
Final energy, eV/cell: -50.2